Entry 1:
Density functional theory data (GGA-PBEsol) for an optimized crystal structure of KTi2AgN.

a b c (Å): 4.922 4.922 5.997
angles (deg): 90.00 90.00 90.00
Fractional positions:
K: 0.000 0.000 0.000
Ti: 0.000 0.500 0.500
Ti: 0.500 0.000 0.500
Ag: 0.000 0.000 0.500
N: 0.500 0.500 0.000

Results
space group = P4/mmm, No. 123
E_form (uncorrected) = 1.998 eV per atom

---

Entry 2:
Density functional theory data (GGA-PBEsol) for an optimized crystal structure of K3NaAg.

a b c (Å): 6.480 6.480 6.480
angles (deg): 90.00 90.00 90.00
Fractional positions:
K: 0.000 0.000 0.500
K: 0.000 0.500 0.000
K: 0.500 0.000 0.000
Na: 0.500 0.500 0.500
Ag: 0.000 0.000 0.000

Results
space group = Pm-3m, No. 221
relative energy among the computed polymorphs = 0.0 meV/atom
E_form = 0.1376 eV per atom

---

Entry 3:
Density functional theory data (GGA-PBEsol) for an optimized crystal structure of K2NaAg2.

a b c (Å): 8.127 8.127 4.992
angles (deg): 90.00 90.00 90.00
Fractional positions:
K: 0.171 0.329 0.000
K: 0.329 0.829 0.000
K: 0.671 0.171 0.000
K: 0.829 0.671 0.000
Na: 0.000 0.000 0.500
Na: 0.500 0.500 0.500
Ag: 0.119 0.619 0.500
Ag: 0.381 0.119 0.500
Ag: 0.619 0.881 0.500
Ag: 0.881 0.381 0.500

Results
space group = P4/mbm, No. 127
E_form = 0.1305 eV per atom

---

Entry 4:
Density functional theory data (GGA-PBEsol) for an optimized crystal structure of KNa2ReAg.

a b c (Å): 5.048 5.048 5.276
angles (deg): 90.00 90.00 90.00
Fractional positions:
K: 0.000 0.000 0.000
Na: 0.000 0.500 0.000
Na: 0.500 0.000 0.000
Re: 0.500 0.500 0.500
Ag: 0.000 0.000 0.500

Results
space group = P4/mmm, No. 123
E_form = 1.9579 eV per atom

---

Entry 5:
Density functional theory data (GGA-PBEsol) for an optimized crystal structure of KAgO2.

a b c (Å): 6.922 6.922 6.922
angles (deg): 28.74 28.74 28.74
Fractional positions:
K: 0.000 0.000 0.000
Ag: 0.500 0.500 0.500
O: 0.122 0.122 0.122
O: 0.878 0.878 0.878

Results
space group = R-3m, No. 166
E_form (uncorrected) = -0.202 eV per atom

---

Entry 6:
Density functional theory data (GGA-PBEsol) for an optimized crystal structure of KAgO2.

a b c (Å): 5.432 5.432 5.770
angles (deg): 101.75 101.75 103.81
Fractional positions:
K: 0.141 0.859 0.750
K: 0.859 0.141 0.250
Ag: 0.500 0.500 0.000
Ag: 0.500 0.500 0.500
O: 0.242 0.347 0.671
O: 0.347 0.242 0.171
O: 0.653 0.758 0.829
O: 0.758 0.653 0.329

Results
space group = C2/c, No. 15
E_form (uncorrected) = -0.698 eV per atom